# 1
Er3Au: relaxed, PBE.

a = 3.674 Å, b = 5.235 Å, c = 6.438 Å
α = 113.99°, β = 106.58°, γ = 90.00°
Fractional positions:
Er 0.709 0.125 0.418
Er 0.291 0.707 0.582
Er 0.500 0.417 0.000
Au 0.000 0.917 0.000

Calculated values
- Energy above the lowest structure with this stoichiometry: 0.0 kJ per mole of atoms
- Energy: -4.660 eV/atom
- Energy of formation: -0.418 eV/atom

***

# 2
Sm5TlCd4: relaxed, PBE.

a = 3.806 Å, b = 3.806 Å, c = 19.336 Å
α = 90.00°, β = 90.00°, γ = 90.00°
Fractional positions:
Cd 0.000 0.000 0.204
Cd 0.000 0.000 0.401
Cd 0.000 0.000 0.599
Cd 0.000 0.000 0.796
Sm 0.500 0.500 0.896
Sm 0.500 0.500 0.698
Sm 0.500 0.500 0.302
Sm 0.500 0.500 0.500
Sm 0.500 0.500 0.104
Tl 0.000 0.000 0.000

Calculated values
- Energy: -3.289 eV/atom
- Energy of formation: -0.326 eV/atom

***

# 3
NbCrSCl2: relaxed, PBE.

a = 4.643 Å, b = 4.643 Å, c = 4.934 Å
α = 90.00°, β = 90.00°, γ = 90.00°
Fractional positions:
Cr 0.000 0.000 0.000
Cl 0.000 0.500 0.000
Cl 0.500 0.000 0.000
Nb 0.500 0.500 0.500
S 0.000 0.000 0.500

Calculated values
- Energy above the lowest structure with this stoichiometry: 27.3 kJ per mole of atoms
- Energy: -5.359 eV/atom
- Formation energy without anion corrections: 143.5 meV per atom

***

# 4
CsTe2WN: relaxed, PBE.

a = 6.034 Å, b = 6.034 Å, c = 4.052 Å
α = 90.00°, β = 90.00°, γ = 90.00°
Fractional positions:
Cs 0.000 0.000 0.000
N 0.000 0.000 0.500
Te 0.000 0.500 0.000
Te 0.500 0.000 0.000
W 0.500 0.500 0.500

Calculated values
- Energy above the lowest structure with this stoichiometry: 269.0 kJ per mole of atoms
- Energy: -2.829 eV/atom
- Formation energy without anion corrections: 2853.7 meV per atom

***

# 5
CaAcSe2: relaxed, PBE.

a = 4.310 Å, b = 4.310 Å, c = 7.631 Å
α = 73.60°, β = 73.60°, γ = 60.00°
Fractional positions:
Se 0.743 0.743 0.770
Se 0.257 0.257 0.230
Ac 0.500 0.500 0.500
Ca 0.000 0.000 0.000

Calculated values
- Energy above the lowest structure with this stoichiometry: 0.0 kJ per mole of atoms
- Energy: -5.176 eV/atom
- Formation energy without anion corrections: -1906.7 meV per atom

***

# 6
NpCdCo: relaxed, PBE.

a = 2.921 Å, b = 6.732 Å, c = 5.865 Å
α = 95.71°, β = 90.03°, γ = 77.52°
Fractional positions:
Np 0.071 0.358 0.615
Np 0.929 0.642 0.385
Cd 0.640 0.219 0.105
Cd 0.360 0.781 0.895
Co 0.720 0.060 0.656
Co 0.280 0.940 0.344

Calculated values
- Energy: -6.780 eV/atom
- Energy of formation: 0.208 eV/atom

***

# 7
NdScInAu: relaxed, PBE.

a = 5.182 Å, b = 5.182 Å, c = 5.182 Å
α = 60.00°, β = 60.00°, γ = 60.00°
Fractional positions:
Au 0.000 0.000 0.000
In 0.500 0.500 0.500
Sc 0.250 0.250 0.250
Nd 0.750 0.750 0.750

Calculated values
- Energy: -4.818 eV/atom
- Energy of formation: -0.539 eV/atom

***

# 8
FeH3Pd6: relaxed, PBE.

a = 2.833 Å, b = 10.814 Å, c = 9.215 Å
α = 125.41°, β = 90.00°, γ = 90.00°
Fractional positions:
Pd 0.250 0.231 0.269
Pd 0.250 0.674 0.943
Pd 0.250 0.359 0.810
Pd 0.750 0.326 0.057
Pd 0.750 0.769 0.731
Pd 0.250 0.854 0.530
Pd 0.750 0.641 0.190
Pd 0.750 0.146 0.470
Pd 0.750 0.952 0.100
Pd 0.250 0.048 0.900
Pd 0.750 0.454 0.613
Pd 0.250 0.546 0.387
Fe 0.750 0.107 0.707
Fe 0.250 0.893 0.293
H 0.750 0.584 0.531
H 0.750 0.174 0.106
H 0.750 0.533 0.866
H 0.250 0.416 0.469
H 0.250 0.826 0.894
H 0.250 0.467 0.134

Calculated values
- Energy: -5.014 eV/atom

***

# 9
Cs2KLuCl6: relaxed, PBE.

a = 7.941 Å, b = 7.941 Å, c = 7.941 Å
α = 60.00°, β = 60.00°, γ = 60.00°
Fractional positions:
Cl 0.230 0.770 0.770
Cl 0.230 0.770 0.230
Cl 0.770 0.230 0.230
Cl 0.770 0.230 0.770
Cl 0.230 0.230 0.770
Cl 0.770 0.770 0.230
K 0.500 0.500 0.500
Cs 0.750 0.750 0.750
Cs 0.250 0.250 0.250
Lu 0.000 0.000 0.000

Calculated values
- Energy: -4.006 eV/atom
- Formation energy without anion corrections: -2165.8 meV per atom

***

# 10
MgTeO: relaxed, PBE.

a = 5.625 Å, b = 2.949 Å, c = 7.755 Å
α = 90.00°, β = 90.00°, γ = 90.00°
Fractional positions:
Mg 0.250 0.000 0.504
Mg 0.750 0.000 0.496
Te 0.250 0.000 0.935
Te 0.750 0.000 0.065
O 0.500 0.500 0.500
O 0.000 0.500 0.500

Calculated values
- Energy: -4.715 eV/atom
- Formation energy without anion corrections: -1483.4 meV per atom

***

# 11
InSi2Se: relaxed, PBE.

a = 4.828 Å, b = 4.828 Å, c = 4.828 Å
α = 60.00°, β = 60.00°, γ = 60.00°
Fractional positions:
Se 0.750 0.750 0.750
Si 0.000 0.000 0.000
Si 0.250 0.250 0.250
In 0.500 0.500 0.500

Calculated values
- Energy: -3.760 eV/atom
- Formation energy without anion corrections: 507.7 meV per atom

***

# 12
Dy6IrPt3: relaxed, PBE.

a = 4.856 Å, b = 8.229 Å, c = 12.065 Å
α = 90.00°, β = 90.00°, γ = 90.00°
Fractional positions:
Dy 0.500 0.852 0.094
Dy 0.000 0.000 0.257
Dy 0.000 0.000 0.743
Dy 0.500 0.176 0.574
Dy 0.500 0.500 0.243
Dy 0.000 0.648 0.594
Dy 0.000 0.676 0.926
Dy 0.000 0.324 0.074
Dy 0.500 0.500 0.757
Dy 0.500 0.148 0.906
Dy 0.000 0.352 0.406
Dy 0.500 0.824 0.426
Pt 0.000 0.334 0.827
Pt 0.500 0.834 0.673
Pt 0.500 0.500 0.000
Pt 0.000 0.666 0.173
Pt 0.000 0.000 0.500
Pt 0.500 0.166 0.327
Ir 0.000 0.000 0.000
Ir 0.500 0.500 0.500

Calculated values
- Energy: -6.346 eV/atom
- Energy of formation: -0.886 eV/atom

***

# 13
RbY2As2: relaxed, PBE.

a = 8.464 Å, b = 8.464 Å, c = 3.753 Å
α = 90.00°, β = 90.00°, γ = 90.00°
Fractional positions:
Y 0.642 0.858 0.500
Y 0.142 0.642 0.500
Y 0.858 0.358 0.500
Y 0.358 0.142 0.500
Rb 0.500 0.500 0.000
Rb 0.000 0.000 0.000
As 0.352 0.852 0.000
As 0.852 0.648 0.000
As 0.148 0.352 0.000
As 0.648 0.148 0.000

Calculated values
- Energy above the lowest structure with this stoichiometry: 14.7 kJ per mole of atoms
- Energy: -5.374 eV/atom
- Energy of formation: -0.735 eV/atom